# ZnCdSiTc2 (PBE, relaxed)
data_ZnCdSiTc2
_chemical_formula_sum 'Zn1 Cd1 Si1 Tc2'
_cell_length_a 4.6586
_cell_length_b 4.6586
_cell_length_c 4.6440
_cell_angle_alpha 90.00
_cell_angle_beta 90.00
_cell_angle_gamma 90.00
_symmetry_space_group_name_H-M 'P 4/m m m'
_symmetry_Int_Tables_number 123
_symmetry_space_group_name_Hall '-P 4 2'
loop_
_atom_site_label
_atom_site_fract_x
_atom_site_fract_y
_atom_site_fract_z
Zn1 0.0000 0.0000 0.0000
Cd1 0.0000 0.0000 0.5000
Si1 0.5000 0.5000 0.5000
Tc1 0.0000 0.5000 0.0000
# Energy relative to the elements, uncorrected (eV per atom): 1.486
# VASP energy (eV/atom): -4.1829
# V (Å³/atom): 20.157